Entry from Alexandria: a relaxed TcMoSCl2 crystal (PBE). Values from VASP.

Offset from the most stable computed form: 0.06 eV per formula unit
Raw formation energy: 3.3 eV per formula unit
Calculated total energy: -5.150 eV/atom
Theoretical density: 4.47 g/cm³
Size of the total moment: 5.37 μB per cell

Structure (Quantum ESPRESSO input):
```
&SYSTEM
  ibrav = 0, nat = 5, ntyp = 4
/
ATOMIC_SPECIES
S 32.06 S.upf
Mo 95.94 Mo.upf
Tc 98.00 Tc.upf
Cl 35.45 Cl.upf
CELL_PARAMETERS angstrom
4.962 0.000 0.000
0.000 4.962 0.000
0.000 0.000 4.481
ATOMIC_POSITIONS angstrom
S 0.000 0.000 2.241
Mo 2.481 2.481 2.241
Tc 0.000 0.000 0.000
Cl 0.000 2.481 0.000
Cl 2.481 0.000 0.000
```

=====

Entry from Alexandria: a relaxed TeMoS2Cl crystal (PBE). Values from VASP.

Offset from the most stable computed form: 4.15 eV per formula unit
Raw formation energy: 4.7 eV per formula unit
Calculated total energy: -3.866 eV/atom
Theoretical density: 3.97 g/cm³
Size of the total moment: 4.56 μB per cell

Structure (Quantum ESPRESSO input):
```
&SYSTEM
  ibrav = 0, nat = 5, ntyp = 4
/
ATOMIC_SPECIES
Mo 95.94 Mo.upf
Te 127.60 Te.upf
S 32.06 S.upf
Cl 35.45 Cl.upf
CELL_PARAMETERS angstrom
5.140 0.000 0.000
0.000 5.140 0.000
0.000 0.000 5.114
ATOMIC_POSITIONS angstrom
Mo 2.570 2.570 2.557
Te 0.000 0.000 0.000
S 0.000 2.570 0.000
S 2.570 0.000 0.000
Cl 0.000 0.000 2.557
```

=====

Entry from Alexandria: a relaxed TeMoS2Cl crystal (PBE). Values from VASP.

Offset from the most stable computed form: 0.00 eV per formula unit
Raw formation energy: 0.6 eV per formula unit
Calculated total energy: -4.696 eV/atom
Theoretical density: 4.99 g/cm³
Size of the total moment: 0.37 μB per cell

Structure (Quantum ESPRESSO input):
```
&SYSTEM
  ibrav = 0, nat = 5, ntyp = 4
/
ATOMIC_SPECIES
Mo 95.94 Mo.upf
Te 127.60 Te.upf
S 32.06 S.upf
Cl 35.45 Cl.upf
CELL_PARAMETERS angstrom
-2.312 0.903 -4.048
-2.333 -4.114 0.414
-3.442 2.199 2.456
ATOMIC_POSITIONS angstrom
Mo 0.000 0.000 0.000
Te -4.043 -0.506 -0.589
S -1.166 -2.057 0.207
S -1.156 0.452 -2.024
Cl -1.721 1.100 1.228
```

=====

Entry from Alexandria: a relaxed TiMoS2Cl crystal (PBE). Values from VASP.

Offset from the most stable computed form: 0.00 eV per formula unit
Raw formation energy: -0.1 eV per formula unit
Calculated total energy: -5.777 eV/atom
Theoretical density: 3.81 g/cm³
Size of the total moment: 4.82 μB per cell

Structure (Quantum ESPRESSO input):
```
&SYSTEM
  ibrav = 0, nat = 5, ntyp = 4
/
ATOMIC_SPECIES
Mo 95.94 Mo.upf
Cl 35.45 Cl.upf
S 32.06 S.upf
Ti 47.87 Ti.upf
CELL_PARAMETERS angstrom
-2.077 -3.899 -1.802
2.604 -2.735 2.916
-3.333 0.279 3.238
ATOMIC_POSITIONS angstrom
Mo -1.403 -3.177 2.176
Cl -1.667 0.139 1.619
S 1.302 -1.367 1.458
S -1.038 -1.949 -0.901
Ti 0.000 0.000 0.000
```

=====

Entry from Alexandria: a relaxed TiMoS2Cl crystal (PBE). Values from VASP.

Offset from the most stable computed form: 1.10 eV per formula unit
Raw formation energy: 1.0 eV per formula unit
Calculated total energy: -5.557 eV/atom
Theoretical density: 3.82 g/cm³
Size of the total moment: 0.45 μB per cell

Structure (Quantum ESPRESSO input):
```
&SYSTEM
  ibrav = 0, nat = 5, ntyp = 4
/
ATOMIC_SPECIES
Mo 95.94 Mo.upf
Cl 35.45 Cl.upf
S 32.06 S.upf
Ti 47.87 Ti.upf
CELL_PARAMETERS angstrom
4.672 0.000 0.000
0.000 4.672 0.000
0.000 0.000 4.844
ATOMIC_POSITIONS angstrom
Mo 0.000 0.000 0.000
Cl 0.000 0.000 2.422
S 0.000 2.336 0.000
S 2.336 0.000 0.000
Ti 2.336 2.336 2.422
```

=====

Entry from Alexandria: a relaxed TlMoS2Cl crystal (PBE). Values from VASP.

Offset from the most stable computed form: 0.00 eV per formula unit
Raw formation energy: -2.0 eV per formula unit
Calculated total energy: -5.053 eV/atom
Theoretical density: 5.81 g/cm³
Size of the total moment: 0.00 μB per cell

Structure (Quantum ESPRESSO input):
```
&SYSTEM
  ibrav = 0, nat = 5, ntyp = 4
/
ATOMIC_SPECIES
S 32.06 S.upf
Tl 204.38 Tl.upf
Mo 95.94 Mo.upf
Cl 35.45 Cl.upf
CELL_PARAMETERS angstrom
-4.166 0.314 -2.159
1.849 -1.962 -3.853
-1.273 -4.686 1.776
ATOMIC_POSITIONS angstrom
S 0.924 -0.981 -1.927
S -2.083 0.157 -1.079
Tl -1.795 -3.167 -2.118
Mo 0.000 0.000 0.000
Cl -0.637 -2.343 0.888
```

=====

Entry from Alexandria: a relaxed TlMoS2Cl crystal (PBE). Values from VASP.

Offset from the most stable computed form: 6.78 eV per formula unit
Raw formation energy: 4.8 eV per formula unit
Calculated total energy: -3.697 eV/atom
Theoretical density: 5.18 g/cm³
Size of the total moment: 3.91 μB per cell

Structure (Quantum ESPRESSO input):
```
&SYSTEM
  ibrav = 0, nat = 5, ntyp = 4
/
ATOMIC_SPECIES
S 32.06 S.upf
Tl 204.38 Tl.upf
Mo 95.94 Mo.upf
Cl 35.45 Cl.upf
CELL_PARAMETERS angstrom
-2.006 4.630 0.191
-2.314 -1.180 4.308
4.009 1.630 2.600
ATOMIC_POSITIONS angstrom
S 2.005 0.815 1.300
S -1.003 2.315 0.095
Tl 0.000 0.000 0.000
Mo -0.155 2.540 3.549
Cl -1.157 -0.590 2.154
```

=====

Entry from Alexandria: a relaxed TlMoSCl2 crystal (PBE). Values from VASP.

Offset from the most stable computed form: 5.63 eV per formula unit
Raw formation energy: 3.2 eV per formula unit
Calculated total energy: -3.560 eV/atom
Theoretical density: 4.64 g/cm³
Size of the total moment: 4.58 μB per cell

Structure (Quantum ESPRESSO input):
```
&SYSTEM
  ibrav = 0, nat = 5, ntyp = 4
/
ATOMIC_SPECIES
S 32.06 S.upf
Tl 204.38 Tl.upf
Mo 95.94 Mo.upf
Cl 35.45 Cl.upf
CELL_PARAMETERS angstrom
5.274 0.000 0.000
0.000 5.274 0.000
0.000 0.000 5.190
ATOMIC_POSITIONS angstrom
S 0.000 0.000 2.595
Tl 0.000 0.000 0.000
Mo 2.637 2.637 2.595
Cl 0.000 2.637 0.000
Cl 2.637 0.000 0.000
```

=====

Entry from Alexandria: a relaxed TlMoSCl2 crystal (PBE). Values from VASP.

Offset from the most stable computed form: 0.00 eV per formula unit
Raw formation energy: -2.4 eV per formula unit
Calculated total energy: -4.686 eV/atom
Theoretical density: 5.51 g/cm³
Size of the total moment: 1.62 μB per cell

Structure (Quantum ESPRESSO input):
```
&SYSTEM
  ibrav = 0, nat = 5, ntyp = 4
/
ATOMIC_SPECIES
S 32.06 S.upf
Tl 204.38 Tl.upf
Mo 95.94 Mo.upf
Cl 35.45 Cl.upf
CELL_PARAMETERS angstrom
-3.218 -0.722 3.912
2.075 -4.598 0.858
3.077 1.927 2.887
ATOMIC_POSITIONS angstrom
S 1.538 0.964 1.443
Tl 0.967 -1.696 3.828
Mo 0.000 0.000 0.000
Cl 1.038 -2.299 0.429
Cl -1.609 -0.361 1.956
```

=====

Entry from Alexandria: a relaxed Tl2MoSCl5 crystal (PBE). Values from VASP.

Raw formation energy: -7.7 eV per formula unit
Calculated total energy: -4.073 eV/atom
Theoretical density: 4.70 g/cm³
Size of the total moment: 1.00 μB per cell

Structure (Quantum ESPRESSO input):
```
&SYSTEM
  ibrav = 0, nat = 9, ntyp = 4
/
ATOMIC_SPECIES
Tl 204.38 Tl.upf
Mo 95.94 Mo.upf
S 32.06 S.upf
Cl 35.45 Cl.upf
CELL_PARAMETERS angstrom
7.053 -0.032 -0.047
-3.377 6.192 0.047
-3.377 -2.161 5.803
ATOMIC_POSITIONS angstrom
Tl 0.201 -0.120 4.296
Tl 0.201 4.057 1.418
Mo -6.626 3.954 5.738
S -5.147 3.071 4.457
Cl 1.686 0.971 1.409
Cl -1.496 3.092 4.487
Cl -3.432 4.247 1.456
Cl -3.432 -0.152 4.487
Cl -1.625 0.969 1.407
```

=====

Entry from Alexandria: a relaxed VMoSCl2 crystal (PBE). Values from VASP.

Offset from the most stable computed form: 0.66 eV per formula unit
Raw formation energy: 1.5 eV per formula unit
Calculated total energy: -5.253 eV/atom
Theoretical density: 3.77 g/cm³
Size of the total moment: 3.78 μB per cell

Structure (Quantum ESPRESSO input):
```
&SYSTEM
  ibrav = 0, nat = 5, ntyp = 4
/
ATOMIC_SPECIES
Mo 95.94 Mo.upf
Cl 35.45 Cl.upf
S 32.06 S.upf
V 50.94 V.upf
CELL_PARAMETERS angstrom
4.882 0.000 0.000
0.000 4.882 0.000
0.000 0.000 4.619
ATOMIC_POSITIONS angstrom
Mo 0.000 0.000 0.000
Cl 0.000 2.441 0.000
Cl 2.441 0.000 0.000
S 0.000 0.000 2.310
V 2.441 2.441 2.310
```

=====

Entry from Alexandria: a relaxed VMoSCl2 crystal (PBE). Values from VASP.

Offset from the most stable computed form: 0.00 eV per formula unit
Raw formation energy: 0.8 eV per formula unit
Calculated total energy: -5.385 eV/atom
Theoretical density: 3.82 g/cm³
Size of the total moment: 7.00 μB per cell

Structure (Quantum ESPRESSO input):
```
&SYSTEM
  ibrav = 0, nat = 5, ntyp = 4
/
ATOMIC_SPECIES
Mo 95.94 Mo.upf
Cl 35.45 Cl.upf
S 32.06 S.upf
V 50.94 V.upf
CELL_PARAMETERS angstrom
4.792 0.000 0.000
0.000 4.792 0.000
0.000 0.000 4.735
ATOMIC_POSITIONS angstrom
Mo 2.396 2.396 2.367
Cl 0.000 2.396 0.000
Cl 2.396 0.000 0.000
S 0.000 0.000 2.367
V 0.000 0.000 0.000
```